Record 1
Compound: SmY4Ag5
Source: the Alexandria database
Functional: GGA-PBE
Structure: optimized geometry

Properties
E_tot = -4.806 eV/atom
DOS at the Fermi energy = 0.461 states/eV/atom
DFT formation energy = -3.23 eV/f.u.

Geometry as extended XYZ:
```
10
Lattice="3.627 0.000 0.000 0.000 3.627 0.000 0.000 0.000 18.603" Properties=species:S:1:pos:R:3 pbc="T T T"
Sm 0.000 0.000 0.000
Y 0.000 0.000 3.765
Y 0.000 0.000 7.455
Y 0.000 0.000 11.148
Y 0.000 0.000 14.837
Ag 1.814 1.814 1.954
Ag 1.814 1.814 5.611
Ag 1.814 1.814 9.301
Ag 1.814 1.814 12.991
Ag 1.814 1.814 16.649
```

Record 2
Compound: CsVBr5
Source: the Alexandria database
Functional: GGA-PBE
Structure: optimized geometry

Properties
E_tot = -3.646 eV/atom
DOS at the Fermi energy = 0.927 states/eV/atom

Geometry as extended XYZ:
```
14
Lattice="8.003 0.000 0.000 0.000 11.235 0.000 0.000 0.000 7.454" Properties=species:S:1:pos:R:3 pbc="T T T"
Cs 0.000 0.000 0.000
Cs 4.001 5.618 3.727
V 0.000 5.618 1.648
V 4.001 0.000 5.375
Br 0.000 3.151 1.707
Br 0.000 5.618 4.036
Br 0.000 8.084 1.707
Br 1.942 0.000 4.205
Br 2.060 5.618 0.478
Br 4.001 0.000 0.309
Br 4.001 2.466 5.434
Br 4.001 8.769 5.434
Br 5.943 5.618 0.478
Br 6.061 0.000 4.205
```